# Te2PRuN

Te2PRuN after structural relaxation (GGA-PBE, Alexandria).

Properties
spin magnetization	0.000	μB per atom
E_tot	-5.10	eV per atom
raw formation energy	757	meV per atom

Geometry as CIF:
```
data_Te2PRuN
_chemical_formula_sum 'Te2 P1 Ru1 N1'
_space_group_name_H-M_alt 'P 1'
_space_group_IT_number 1
_cell_length_a 5.237
_cell_length_b 5.237
_cell_length_c 3.244
_cell_angle_alpha 90.00
_cell_angle_beta 90.00
_cell_angle_gamma 90.00
loop_
_space_group_symop_operation_xyz
'x,y,z'
loop_
_atom_site_label
_atom_site_type_symbol
_atom_site_fract_x
_atom_site_fract_y
_atom_site_fract_z
Ru1 Ru 0.500 0.500 0.500
Te1 Te 0.000 0.500 0.000
Te2 Te 0.500 0.000 0.000
N1 N 0.000 0.000 0.500
P1 P 0.000 0.000 0.000
```

# La3Pr2SmHo6

La3Pr2SmHo6 after structural relaxation (GGA-PBE, Alexandria).

Properties
formation energy	13	meV/atom
spin magnetization	0.000	μB per atom
E_tot	-4.70	eV per atom

Geometry as CIF:
```
data_La3Pr2SmHo6
_chemical_formula_sum 'La3 Pr2 Sm1 Ho6'
_space_group_name_H-M_alt 'P 1'
_space_group_IT_number 1
_cell_length_a 6.295
_cell_length_b 6.295
_cell_length_c 11.857
_cell_angle_alpha 95.07
_cell_angle_beta 95.07
_cell_angle_gamma 120.00
loop_
_space_group_symop_operation_xyz
'x,y,z'
loop_
_atom_site_label
_atom_site_type_symbol
_atom_site_fract_x
_atom_site_fract_y
_atom_site_fract_z
Pr1 Pr 0.334 0.666 0.000
Pr2 Pr 0.666 0.334 0.000
La1 La 0.500 0.500 0.500
La2 La 0.833 0.167 0.500
La3 La 0.167 0.833 0.500
Ho1 Ho 0.585 0.917 0.752
Ho2 Ho 0.083 0.415 0.248
Ho3 Ho 0.750 0.750 0.248
Ho4 Ho 0.917 0.585 0.752
Ho5 Ho 0.415 0.083 0.248
Ho6 Ho 0.250 0.250 0.752
Sm1 Sm 0.000 0.000 0.000
```

# AlBiN2

AlBiN2 after structural relaxation (GGA-PBE, Alexandria).

Properties
spin magnetization	0.000	μB per atom
E_tot	-6.39	eV per atom
raw formation energy	-321	meV per atom

Geometry as CIF:
```
data_AlBiN2
_chemical_formula_sum 'Al4 Bi4 N8'
_space_group_name_H-M_alt 'P 1'
_space_group_IT_number 1
_cell_length_a 5.246
_cell_length_b 6.138
_cell_length_c 7.507
_cell_angle_alpha 90.00
_cell_angle_beta 90.00
_cell_angle_gamma 90.00
loop_
_space_group_symop_operation_xyz
'x,y,z'
loop_
_atom_site_label
_atom_site_type_symbol
_atom_site_fract_x
_atom_site_fract_y
_atom_site_fract_z
Bi1 Bi 0.518 0.381 0.132
Bi2 Bi 0.018 0.119 0.632
Bi3 Bi 0.518 0.881 0.368
Bi4 Bi 0.018 0.619 0.868
Al1 Al 0.000 0.025 0.130
Al2 Al 0.500 0.475 0.630
Al3 Al 0.500 0.975 0.870
Al4 Al 0.000 0.525 0.370
N1 N 0.864 0.477 0.608
N2 N 0.388 0.720 0.760
N3 N 0.364 0.023 0.108
N4 N 0.888 0.780 0.260
N5 N 0.388 0.220 0.740
N6 N 0.364 0.523 0.392
N7 N 0.864 0.977 0.892
N8 N 0.888 0.280 0.240
```

# LaIr2Ru

LaIr2Ru after structural relaxation (GGA-PBE, Alexandria).

Properties
formation energy	42	meV/atom
spin magnetization	0.000	μB per atom
E_tot	-7.94	eV per atom

Geometry as CIF:
```
data_LaIr2Ru
_chemical_formula_sum 'La1 Ir2 Ru1'
_space_group_name_H-M_alt 'P 1'
_space_group_IT_number 1
_cell_length_a 4.913
_cell_length_b 4.913
_cell_length_c 5.463
_cell_angle_alpha 80.02
_cell_angle_beta 80.02
_cell_angle_gamma 34.75
loop_
_space_group_symop_operation_xyz
'x,y,z'
loop_
_atom_site_label
_atom_site_type_symbol
_atom_site_fract_x
_atom_site_fract_y
_atom_site_fract_z
La1 La 0.498 0.498 0.495
Ir1 Ir 0.261 0.261 0.203
Ir2 Ir 0.002 0.002 0.977
Ru1 Ru 0.738 0.738 0.825
```

# CaNbGeTeP

CaNbGeTeP after structural relaxation (GGA-PBE, Alexandria).

Properties
spin magnetization	0.000	μB per atom
E_tot	-5.57	eV per atom
raw formation energy	-523	meV per atom

Geometry as CIF:
```
data_CaNbGeTeP
_chemical_formula_sum 'Ca2 Nb2 Ge2 Te2 P2'
_space_group_name_H-M_alt 'P 1'
_space_group_IT_number 1
_cell_length_a 4.966
_cell_length_b 3.606
_cell_length_c 13.332
_cell_angle_alpha 90.00
_cell_angle_beta 97.91
_cell_angle_gamma 90.00
loop_
_space_group_symop_operation_xyz
'x,y,z'
loop_
_atom_site_label
_atom_site_type_symbol
_atom_site_fract_x
_atom_site_fract_y
_atom_site_fract_z
Nb1 Nb 0.318 0.000 0.638
Nb2 Nb 0.318 0.500 0.138
Te1 Te 0.213 0.500 0.475
Te2 Te 0.213 0.000 0.975
Ge1 Ge 0.821 0.000 0.685
Ge2 Ge 0.821 0.500 0.185
P1 P 0.145 0.500 0.752
P2 P 0.145 0.000 0.252
Ca1 Ca 0.677 0.500 0.877
Ca2 Ca 0.677 0.000 0.377
```

# Sr2NpTaO6

Sr2NpTaO6 after structural relaxation (GGA-PBE, Alexandria).

Properties
spin magnetization	0.349	μB per atom
E_tot	-8.61	eV per atom
raw formation energy	-2820	meV per atom

Geometry as CIF:
```
data_Sr2NpTaO6
_chemical_formula_sum 'Sr2 Np1 Ta1 O6'
_space_group_name_H-M_alt 'P 1'
_space_group_IT_number 1
_cell_length_a 4.221
_cell_length_b 4.221
_cell_length_c 8.545
_cell_angle_alpha 90.00
_cell_angle_beta 90.00
_cell_angle_gamma 90.00
loop_
_space_group_symop_operation_xyz
'x,y,z'
loop_
_atom_site_label
_atom_site_type_symbol
_atom_site_fract_x
_atom_site_fract_y
_atom_site_fract_z
O1 O 0.500 0.000 0.500
O2 O 0.500 0.500 0.267
O3 O 0.000 0.500 0.000
O4 O 0.000 0.500 0.500
O5 O 0.500 0.000 0.000
O6 O 0.500 0.500 0.733
Ta1 Ta 0.500 0.500 0.500
Sr1 Sr 0.000 0.000 0.273
Sr2 Sr 0.000 0.000 0.727
Np1 Np 0.500 0.500 0.000
```

# Zr6CoAs2

Zr6CoAs2 after structural relaxation (GGA-PBE, Alexandria).

Properties
formation energy	-729	meV/atom
spin magnetization	0.000	μB per atom
E_tot	-8.25	eV per atom

Geometry as CIF:
```
data_Zr6CoAs2
_chemical_formula_sum 'Zr6 Co1 As2'
_space_group_name_H-M_alt 'P 1'
_space_group_IT_number 1
_cell_length_a 7.542
_cell_length_b 7.542
_cell_length_c 3.575
_cell_angle_alpha 90.00
_cell_angle_beta 90.00
_cell_angle_gamma 120.00
loop_
_space_group_symop_operation_xyz
'x,y,z'
loop_
_atom_site_label
_atom_site_type_symbol
_atom_site_fract_x
_atom_site_fract_y
_atom_site_fract_z
Zr1 Zr 0.000 0.413 0.500
Zr2 Zr 0.247 0.247 0.000
Zr3 Zr 0.753 0.000 0.000
Zr4 Zr 0.000 0.753 0.000
Zr5 Zr 0.587 0.587 0.500
Zr6 Zr 0.413 0.000 0.500
Co1 Co 0.000 0.000 0.500
As1 As 0.333 0.667 0.000
As2 As 0.667 0.333 0.000
```

Question: E_tot of number 3 (AlBiN2)?
Answer: -6.39 eV per atom

Repeat the fourth record exactly.
# LaIr2Ru

LaIr2Ru after structural relaxation (GGA-PBE, Alexandria).

Properties
formation energy	42	meV/atom
spin magnetization	0.000	μB per atom
E_tot	-7.94	eV per atom

Geometry as CIF:
```
data_LaIr2Ru
_chemical_formula_sum 'La1 Ir2 Ru1'
_space_group_name_H-M_alt 'P 1'
_space_group_IT_number 1
_cell_length_a 4.913
_cell_length_b 4.913
_cell_length_c 5.463
_cell_angle_alpha 80.02
_cell_angle_beta 80.02
_cell_angle_gamma 34.75
loop_
_space_group_symop_operation_xyz
'x,y,z'
loop_
_atom_site_label
_atom_site_type_symbol
_atom_site_fract_x
_atom_site_fract_y
_atom_site_fract_z
La1 La 0.498 0.498 0.495
Ir1 Ir 0.261 0.261 0.203
Ir2 Ir 0.002 0.002 0.977
Ru1 Ru 0.738 0.738 0.825
```

Question: Which value of E_tot does entry 1 give?
Answer: -5.10 eV per atom

Question: Among the records above, which one has the lowest E_tot?
Answer: Sr2NpTaO6